Entry 1:
MnIn3Ga GGA-PBE optimized geometry; calculated formation energy = 662 meV per atom; VASP energy = -3.4199 eV per atom; V = 148.1 Å³/f.u.; N(E_F) = 2.9 states/eV/cell; excess energy over the best structure of this formula in the dataset = 0.348 eV/atom
1.0
-2.468 3.866 2.638
-3.191 0.791 -4.145
-3.423 -3.524 1.962
Mn Ga In
1 1 3
Cartesian
-4.541 0.566 0.228
0.000 0.000 0.000
-1.596 0.396 -2.073
-1.712 -1.762 0.981
-1.234 1.933 1.319

Entry 2:
CaMg3Cd4 GGA-PBE optimized geometry; calculated formation energy = -167 meV per atom; VASP energy = -1.4730 eV per atom; V = 186.8 Å³/f.u.; N(E_F) = 6.9 states/eV/cell
1.0
-4.974 -1.655 -0.857
2.232 -4.079 -5.078
1.370 -7.590 6.699
Ca Mg Cd
2 6 8
Cartesian
1.116 -2.040 -2.539
1.801 -5.834 0.811
0.000 0.000 0.000
0.685 -3.795 3.350
-2.095 -6.731 4.486
-1.508 -2.513 1.356
-0.686 -8.674 1.998
-0.685 -4.650 -1.234
-0.773 -3.958 -4.327
-0.088 -7.753 -0.977
-1.968 -1.775 -1.609
-1.283 -5.570 1.741
2.160 -9.015 1.029
-2.338 -6.489 -2.978
-3.531 -4.309 -0.265
0.967 -6.835 3.742

Entry 3:
TcAg4N2 GGA-PBE optimized geometry; VASP energy = -4.1618 eV per atom; V = 170.0 Å³/f.u.; N(E_F) = 2.7 states/eV/cell; formation energy from raw total energies = 1.327 eV/atom
1.0
5.583 0.000 0.000
0.000 5.583 0.000
2.791 2.791 5.454
Tc Ag N
1 4 2
Cartesian
0.000 0.000 0.000
5.583 5.583 2.653
2.791 2.791 2.800
0.000 2.791 0.000
2.791 0.000 0.000
5.583 5.583 4.888
2.791 2.791 0.566

Entry 4:
Al3Se GGA-PBE optimized geometry; VASP energy = -3.5882 eV per atom; V = 73.9 Å³/f.u.; N(E_F) = 1.1 states/eV/cell; formation energy from raw total energies = 0.090 eV/atom
1.0
-5.384 -0.582 -0.206
2.939 -4.553 0.001
1.889 4.114 2.980
Al Se
3 1
Cartesian
0.000 0.000 0.000
-1.222 -2.567 -0.103
2.414 -0.220 1.490
-1.748 1.766 1.387

Entry 5:
LiCrCu2 GGA-PBE optimized geometry; calculated formation energy = 318 meV per atom; VASP energy = -4.6143 eV per atom; V = 49.3 Å³/f.u.; N(E_F) = 4.3 states/eV/cell; excess energy over the best structure of this formula in the dataset = 0.143 eV/atom
1.0
2.387 0.000 0.000
0.000 4.026 0.000
0.000 0.000 5.136
Cr Cu Li
1 2 1
Cartesian
1.193 2.013 3.968
0.000 0.000 5.059
1.193 2.013 1.352
0.000 0.000 2.462

Entry 6:
YMg2Cu2 GGA-PBE optimized geometry; calculated formation energy = 37 meV per atom; VASP energy = -3.5318 eV per atom; V = 104.0 Å³/f.u.; N(E_F) = 5.0 states/eV/cell; excess energy over the best structure of this formula in the dataset = 0.190 eV/atom
1.0
1.465 -5.280 4.025
5.653 2.737 2.604
-6.323 2.498 0.124
Y Mg Cu
2 4 4
Cartesian
3.392 0.037 3.996
-2.596 -0.082 2.756
-4.060 2.416 0.836
4.856 -2.462 5.917
0.431 -1.686 3.342
0.365 1.641 3.410
-1.514 2.337 1.612
2.310 -2.383 5.141
-0.329 -0.584 1.040
1.125 0.539 5.712

Entry 7:
TbTh2Zr GGA-PBE optimized geometry; calculated formation energy = 108 meV per atom; VASP energy = -6.8960 eV per atom; V = 119.1 Å³/f.u.; N(E_F) = 5.5 states/eV/cell; excess energy over the best structure of this formula in the dataset = 0.018 eV/atom
1.0
-1.954 4.459 0.561
0.028 -0.603 4.892
4.520 1.954 0.215
Tb Zr Th
1 1 2
Cartesian
1.297 2.904 2.834
-0.977 2.229 0.281
2.260 0.977 0.107
0.014 -0.302 2.446

Entry 8:
HgBi2Pd5Au GGA-PBE optimized geometry; calculated formation energy = -159 meV per atom; VASP energy = -4.3037 eV per atom; V = 176.0 Å³/f.u.; N(E_F) = 6.7 states/eV/cell
1.0
-0.853 -4.233 -0.045
6.710 0.891 -3.840
5.501 -1.207 9.333
Hg Bi Pd Au
2 4 10 2
Cartesian
6.284 -3.496 2.543
2.612 -0.513 -1.273
9.578 -4.178 4.284
6.013 -1.267 5.258
2.577 -0.546 2.515
4.842 -3.171 -0.665
10.091 -2.098 6.157
7.375 -3.752 6.007
4.134 -3.102 6.303
8.279 -1.709 3.804
3.208 -0.702 5.232
3.710 -2.986 3.437
5.099 -1.042 1.333
6.871 -1.369 -1.453
2.523 -2.718 0.700
6.132 -3.405 -3.207
5.845 -3.469 8.380
7.868 -1.597 1.064